Record 1
A plane-wave DFT calculation with GGA-PBE was carried out for a geometry-optimized Tl3VAg2Cl9 structure.

Total energy: -51.7 eV per cell

a b c (Å): 7.3622 7.3622 8.8233
angles (deg): 90.00 90.00 120.00
Last column: nearest neighbours and their distance in Å.
Sites, in units of the cell vectors:
Tl 0.0000 0.0000 0.0000  12 Cl 3.60-3.68
Tl 0.3333 0.6667 0.7383  3 Cl 3.14
Tl 0.6667 0.3333 0.2617  3 Cl 3.14
V 0.0000 0.0000 0.5000  6 Cl 2.34
Ag 0.3333 0.6667 0.1824  6 Cl 2.67-2.75
Ag 0.6667 0.3333 0.8176  6 Cl 2.67-2.75
Cl 0.0000 0.5000 0.0000  2 Ag 2.67
Cl 0.1494 0.2987 0.3457  1 V 2.34
Cl 0.1494 0.8506 0.3457  1 V 2.34
Cl 0.2987 0.1494 0.6543  1 V 2.34
Cl 0.5000 0.0000 0.0000  2 Ag 2.67
Cl 0.5000 0.5000 0.0000  2 Ag 2.67
Cl 0.7013 0.8506 0.3457  1 V 2.34
Cl 0.8506 0.1494 0.6543  1 V 2.34
Cl 0.8506 0.7013 0.6543  1 V 2.34

---

Record 2
A plane-wave DFT calculation with GGA-PBE was carried out for a geometry-optimized YTl2Ag2Cl6 structure.

Total energy: -40.6 eV per cell

a b c (Å): 7.3974 7.3974 7.8393
angles (deg): 117.85 117.85 70.54
Last column: nearest neighbours and their distance in Å.
Sites, in units of the cell vectors:
Y 0.0000 0.0000 0.0000  6 Cl 2.62-2.68
Tl 0.2064 0.2064 0.6843  2 Ag 3.07-3.42, 2 Cl 3.17
Tl 0.7936 0.7936 0.3157  2 Ag 3.07-3.42, 2 Cl 3.17
Ag 0.4604 0.4604 0.1336  3 Cl 2.66-2.67, 1 Ag 2.76
Ag 0.5396 0.5396 0.8664  3 Cl 2.66-2.67, 1 Ag 2.76
Cl 0.1771 0.7575 0.7197  1 Ag 2.66, 1 Y 2.68
Cl 0.2425 0.8229 0.2803  1 Ag 2.66, 1 Y 2.68
Cl 0.2622 0.2622 0.1896  1 Y 2.62, 1 Ag 2.67
Cl 0.7378 0.7378 0.8104  1 Y 2.62, 1 Ag 2.67
Cl 0.7575 0.1771 0.7197  1 Ag 2.66, 1 Y 2.68
Cl 0.8229 0.2425 0.2803  1 Ag 2.66, 1 Y 2.68

---

Record 3
A plane-wave DFT calculation with GGA-PBE was carried out for a geometry-optimized YTlAgCl5 structure.

Total energy: -66.1 eV per cell

a b c (Å): 7.6318 7.6318 10.1560
angles (deg): 102.26 102.26 109.85
Last column: nearest neighbours and their distance in Å.
Sites, in units of the cell vectors:
Y 0.0000 0.0000 0.0000  6 Cl 2.64-2.69
Y 0.0000 0.0000 0.5000  6 Cl 2.64-2.69
Tl 0.3475 0.6525 0.7500  5 Cl 3.27-3.46
Tl 0.6525 0.3475 0.2500  5 Cl 3.27-3.46
Ag 0.3101 0.6899 0.2500  4 Cl 2.58-2.62
Ag 0.6899 0.3101 0.7500  4 Cl 2.58-2.62
Cl 0.0701 0.9299 0.7500  2 Y 2.69
Cl 0.0880 0.6987 0.4078  1 Ag 2.58, 1 Y 2.65
Cl 0.2560 0.3646 0.0638  1 Ag 2.62, 1 Y 2.64
Cl 0.3013 0.9120 0.0922  1 Ag 2.58, 1 Y 2.65
Cl 0.3646 0.2560 0.5638  1 Ag 2.62, 1 Y 2.64
Cl 0.6354 0.7440 0.4362  1 Ag 2.62, 1 Y 2.64
Cl 0.6987 0.0880 0.9078  1 Ag 2.58, 1 Y 2.65
Cl 0.7440 0.6354 0.9362  1 Ag 2.62, 1 Y 2.64
Cl 0.9120 0.3013 0.5922  1 Ag 2.58, 1 Y 2.65
Cl 0.9299 0.0701 0.2500  2 Y 2.69

---

Record 4
A plane-wave DFT calculation with GGA-PBE was carried out for a geometry-optimized YTlAg2Cl6 structure.

Total energy: -38.5 eV per cell

a b c (Å): 7.1186 7.1226 7.6967
angles (deg): 90.01 117.52 119.95
Last column: nearest neighbours and their distance in Å.
Sites, in units of the cell vectors:
Y 0.0000 0.0000 0.0000  6 Cl 2.67
Tl 0.0389 0.5194 0.5587  6 Cl 3.12-3.33
Ag 0.6117 0.8056 0.4176  6 Cl 2.75-2.93
Ag 0.6500 0.3253 0.9754  6 Cl 2.75-2.88
Cl 0.1394 0.9759 0.7376  1 Y 2.67, 2 Ag 2.75-2.92
Cl 0.1439 0.7490 0.2090  1 Y 2.67, 2 Ag 2.75-2.87
Cl 0.4598 0.3943 0.2088  1 Y 2.67, 2 Ag 2.75-2.87
Cl 0.5745 0.5989 0.7378  1 Y 2.67, 2 Ag 2.75-2.92
Cl 0.7622 0.1641 0.7383  1 Y 2.67, 2 Ag 2.75-2.93
Cl 0.8146 0.0652 0.2094  1 Y 2.67, 2 Ag 2.75-2.88

---

Record 5
A plane-wave DFT calculation with GGA-PBE was carried out for a geometry-optimized Tl2ZnAgCl6 structure.

Total energy: -56.2 eV per cell

a b c (Å): 7.4942 7.2460 12.4114
angles (deg): 90.00 125.91 90.00
Last column: nearest neighbours and their distance in Å.
Sites, in units of the cell vectors:
Tl 0.2469 0.0334 0.2492  7 Cl 3.23-3.54
Tl 0.2469 0.4666 0.7492  7 Cl 3.23-3.54
Tl 0.7531 0.5334 0.2508  7 Cl 3.23-3.54
Tl 0.7531 0.9666 0.7508  7 Cl 3.23-3.54
Zn 0.0000 0.0000 0.5000  2 Cl 2.23
Zn 0.0000 0.5000 0.0000  2 Cl 2.23
Ag 0.5000 0.0000 0.0000  4 Cl 2.49-2.51
Ag 0.5000 0.5000 0.5000  4 Cl 2.49-2.51
Cl 0.1462 0.2410 0.4654  1 Zn 2.23
Cl 0.1462 0.2590 0.9654  1 Zn 2.23
Cl 0.2560 0.7329 0.9616  1 Ag 2.51, 1 Zn 2.80
Cl 0.2560 0.7671 0.4616  1 Ag 2.51, 1 Zn 2.80
Cl 0.3309 0.0225 0.7575  1 Ag 2.49, 1 Zn 2.66
Cl 0.3309 0.4775 0.2575  1 Ag 2.49, 1 Zn 2.66
Cl 0.6691 0.5225 0.7425  1 Ag 2.49, 1 Zn 2.66
Cl 0.6691 0.9775 0.2425  1 Ag 2.49, 1 Zn 2.66
Cl 0.7440 0.2329 0.5384  1 Ag 2.51, 1 Zn 2.80
Cl 0.7440 0.2671 0.0384  1 Ag 2.51, 1 Zn 2.80
Cl 0.8538 0.7410 0.0346  1 Zn 2.23
Cl 0.8538 0.7590 0.5346  1 Zn 2.23

---

Record 6
A plane-wave DFT calculation with GGA-PBE was carried out for a geometry-optimized Tl3ZnAg3Cl8 structure.

Total energy: -43.3 eV per cell

a b c (Å): 8.1296 8.1296 8.7076
angles (deg): 117.76 117.76 59.42
Last column: nearest neighbours and their distance in Å.
Sites, in units of the cell vectors:
Tl 0.0000 0.0000 0.0000  6 Cl 3.19-3.21
Tl 0.0000 0.5000 0.0000  6 Cl 3.19-3.20
Tl 0.5000 0.0000 0.0000  6 Cl 3.19-3.20
Zn 0.0000 0.0000 0.5000  6 Cl 2.52-2.54
Ag 0.0000 0.5000 0.5000  6 Cl 2.75-2.87
Ag 0.5000 0.0000 0.5000  6 Cl 2.75-2.87
Ag 0.5000 0.5000 0.5000  6 Cl 2.81
Cl 0.2135 0.2135 0.6891  1 Zn 2.54, 2 Ag 2.82
Cl 0.2157 0.7638 0.6910  1 Zn 2.52, 1 Ag 2.81
Cl 0.2362 0.7843 0.3090  1 Zn 2.52, 1 Ag 2.81
Cl 0.2644 0.2644 0.2980  3 Ag 2.75-2.81
Cl 0.7356 0.7356 0.7020  3 Ag 2.75-2.81
Cl 0.7638 0.2157 0.6910  1 Zn 2.52, 1 Ag 2.81
Cl 0.7843 0.2362 0.3090  1 Zn 2.52, 1 Ag 2.81
Cl 0.7865 0.7865 0.3109  1 Zn 2.54, 2 Ag 2.82

---

Record 7
A plane-wave DFT calculation with GGA-PBE was carried out for a geometry-optimized TlZnAgCl6 structure.

Total energy: -48.4 eV per cell

a b c (Å): 6.5357 6.5357 12.1779
angles (deg): 90.00 90.00 120.00
Last column: nearest neighbours and their distance in Å.
Sites, in units of the cell vectors:
Tl 0.3333 0.6667 0.2500  6 Cl 2.64
Tl 0.6667 0.3333 0.7500  6 Cl 2.64
Zn 0.3333 0.6667 0.7500  6 Cl 2.50
Zn 0.6667 0.3333 0.2500  6 Cl 2.50
Ag 0.0000 0.0000 0.0000  6 Cl 2.80
Ag 0.0000 0.0000 0.5000  6 Cl 2.80
Cl 0.0174 0.3608 0.6310  1 Zn 2.50, 1 Tl 2.64
Cl 0.0174 0.6566 0.8690  1 Zn 2.50, 1 Tl 2.64
Cl 0.3434 0.3608 0.8690  1 Zn 2.50, 1 Tl 2.64
Cl 0.3434 0.9826 0.6310  1 Zn 2.50, 1 Tl 2.64
Cl 0.3608 0.0174 0.1310  1 Zn 2.50, 1 Tl 2.64
Cl 0.3608 0.3434 0.3690  1 Zn 2.50, 1 Tl 2.64
Cl 0.6392 0.6566 0.6310  1 Zn 2.50, 1 Tl 2.64
Cl 0.6392 0.9826 0.8690  1 Zn 2.50, 1 Tl 2.64
Cl 0.6566 0.0174 0.3690  1 Zn 2.50, 1 Tl 2.64
Cl 0.6566 0.6392 0.1310  1 Zn 2.50, 1 Tl 2.64
Cl 0.9826 0.3434 0.1310  1 Zn 2.50, 1 Tl 2.64
Cl 0.9826 0.6392 0.3690  1 Zn 2.50, 1 Tl 2.64

---

Record 8
A plane-wave DFT calculation with GGA-PBE was carried out for a geometry-optimized Tl3Zn2AgCl8 structure.

Total energy: -41.0 eV per cell

a b c (Å): 7.2662 7.2662 9.0522
angles (deg): 90.00 90.00 120.00
Last column: nearest neighbours and their distance in Å.
Sites, in units of the cell vectors:
Tl 0.0000 0.0000 0.0000  6 Cl 3.46
Tl 0.3333 0.6667 0.6258  1 Cl 2.99
Tl 0.6667 0.3333 0.3742  1 Cl 2.99
Zn 0.3333 0.6667 0.2019  4 Cl 2.23-2.30
Zn 0.6667 0.3333 0.7981  4 Cl 2.23-2.30
Ag 0.0000 0.0000 0.5000  6 Cl 2.74
Cl 0.1659 0.3318 0.3045  1 Zn 2.30
Cl 0.1659 0.8341 0.3045  1 Zn 2.30
Cl 0.3318 0.1659 0.6955  1 Zn 2.30
Cl 0.3333 0.6667 0.9558  1 Zn 2.23
Cl 0.6667 0.3333 0.0442  1 Zn 2.23
Cl 0.6682 0.8341 0.3045  1 Zn 2.30
Cl 0.8341 0.1659 0.6955  1 Zn 2.30
Cl 0.8341 0.6682 0.6955  1 Zn 2.30

---

Record 9
A plane-wave DFT calculation with GGA-PBE was carried out for a geometry-optimized ZrTlAgCl6 structure.

Total energy: -73.8 eV per cell

a b c (Å): 7.0040 7.0040 13.5150
angles (deg): 90.00 90.00 120.00
Last column: nearest neighbours and their distance in Å.
Sites, in units of the cell vectors:
Zr 0.3333 0.6667 0.2500  6 Cl 2.50
Zr 0.6667 0.3333 0.7500  6 Cl 2.50
Tl 0.0000 0.0000 0.0000  6 Cl 3.25
Tl 0.0000 0.0000 0.5000  6 Cl 3.25
Ag 0.3333 0.6667 0.7500  6 Cl 2.79
Ag 0.6667 0.3333 0.2500  6 Cl 2.79
Cl 0.0316 0.3892 0.1423  1 Zr 2.50, 1 Ag 2.79
Cl 0.0316 0.6424 0.3577  1 Zr 2.50, 1 Ag 2.79
Cl 0.3576 0.3892 0.3577  1 Zr 2.50, 1 Ag 2.79
Cl 0.3576 0.9684 0.1423  1 Zr 2.50, 1 Ag 2.79
Cl 0.3892 0.0316 0.6423  1 Zr 2.50, 1 Ag 2.79
Cl 0.3892 0.3576 0.8577  1 Zr 2.50, 1 Ag 2.79
Cl 0.6108 0.6424 0.1423  1 Zr 2.50, 1 Ag 2.79
Cl 0.6108 0.9684 0.3577  1 Zr 2.50, 1 Ag 2.79
Cl 0.6424 0.0316 0.8577  1 Zr 2.50, 1 Ag 2.79
Cl 0.6424 0.6108 0.6423  1 Zr 2.50, 1 Ag 2.79
Cl 0.9684 0.3576 0.6423  1 Zr 2.50, 1 Ag 2.79
Cl 0.9684 0.6108 0.8577  1 Zr 2.50, 1 Ag 2.79

---

> Number 1 is which compound?

Tl3VAg2Cl9

---

> Number 5 is which compound?

Tl2ZnAgCl6